Entry 1:
Material: CaSi2HS
Method: DFT, PBE
State: optimized geometry

Lattice parameters (Å, degrees): 5.5472 3.7875 5.5472 90.00 90.00 90.00
Last column: magnetic moment on the atom in μB.
Fractional positions:
S 0.5000 0.5000 0.5000  0.01
Ca 0.0000 0.0000 0.0000  0.11
H 0.0000 0.5000 0.0000  0.00
Si 0.5000 0.0000 0.0000  0.14
Si 0.0000 0.0000 0.5000  0.17

Calculated values
total energy: -14.99 eV/cell



Entry 2:
Material: NaReSCl2
Method: DFT, PBE
State: optimized geometry

Lattice parameters (Å, degrees): 5.0514 5.0514 4.4739 90.00 90.00 90.00
Last column: magnetic moment on the atom in μB.
Fractional positions:
Cl 0.5000 0.0000 0.0000  0.02
S 0.0000 0.0000 0.5000  -0.02
Re 0.0000 0.0000 0.0000  0.51
Cl 0.0000 0.5000 0.0000  0.02
Na 0.5000 0.5000 0.5000  0.00

Calculated values
total energy: -23.57 eV/cell
E above lowest polymorph: 0 meV/atom
formation energy (no corrections): -2.0 eV/f.u.



Entry 3:
Material: Hf3FePt12
Method: DFT, PBE
State: optimized geometry

Lattice parameters (Å, degrees): 4.0070 4.0070 16.0137 90.00 90.00 90.00
Last column: magnetic moment on the atom in μB.
Fractional positions:
Pt 0.5000 0.5000 0.0000  0.33
Pt 0.5000 0.5000 0.7522  0.05
Pt 0.5000 0.5000 0.2478  0.05
Hf 0.0000 0.0000 0.7558  0.02
Fe 0.0000 0.0000 0.0000  3.43
Pt 0.5000 0.0000 0.1208  0.19
Pt 0.0000 0.5000 0.1208  0.19
Pt 0.0000 0.5000 0.6263  0.01
Pt 0.0000 0.5000 0.3737  0.01
Pt 0.0000 0.5000 0.8792  0.19
Hf 0.0000 0.0000 0.2442  0.02
Pt 0.5000 0.5000 0.5000  0.01
Hf 0.0000 0.0000 0.5000  0.01
Pt 0.5000 0.0000 0.3737  0.01
Pt 0.5000 0.0000 0.6263  0.01
Pt 0.5000 0.0000 0.8792  0.19

Calculated values
total energy: -125.04 eV/cell
energy relative to the elements: -889 meV per atom